The following is a PBE-GGA calculation of a relaxed SbTe2MoN crystal, from the Alexandria database.

Geometry as extended XYZ:
```
5
Lattice="4.728 0.000 0.000 0.000 4.728 0.000 0.000 0.000 4.639" Properties=species:S:1:pos:R:3 pbc="T T T"
Sb 0.000 0.000 0.000
Te 0.000 2.364 2.319
Te 2.364 0.000 2.319
Mo 2.364 2.364 0.000
N 0.000 0.000 2.319
```

## Properties
DOS at the Fermi energy: 2.6 states/eV/cell
SG: P4/mmm
V: 103.7 Å³ per cell
VASP energy: -4.935 eV/atom
formation energy without anion corrections: 0.977 eV/atom
ΔE to the lowest computed polymorph: 736 meV per atom
theoretical density: 7.8 g/cm3